## LiBIN2 (PBE)

Data for a relaxed structure of LiBIN2.

Calculated values
Total magnetization (Bohr magnetons per cell): 1.933
Space-group type: P4/mmm, No. 123
Formation energy without anion corrections (eV per atom): 2.26
Density of states at the Fermi level (states/eV per atom): 0.45

a = 3.6138 Å, b = 3.6138 Å, c = 6.0596 Å
α = 90.00°, β = 90.00°, γ = 90.00°
Last column: nearest neighbours and their distance in Å.
Fractional coordinates of all 5 atoms:
N (0.5000, 0.0000, 0.0000)  2 Li 1.81
I (0.0000, 0.0000, 0.5000)  4 B 2.56
Li (0.0000, 0.0000, 0.0000)  4 N 1.81
N (0.0000, 0.5000, 0.0000)  2 Li 1.81
B (0.5000, 0.5000, 0.5000)  4 I 2.56